Below is a geometry-optimized DySbAsO structure, with properties calculated at the PBE-GGA level.

Results
* symmetry: No. 26

Structure (extended XYZ):
```
8
Lattice="-1.429 -4.538 2.182 4.518 0.439 3.872 -3.640 3.024 3.905" Properties=species:S:1:pos:R:3 pbc="T T T"
Sb -2.275 2.879 4.499
Sb 1.930 1.599 4.590
As 0.037 1.278 2.682
As -0.085 2.954 6.089
Dy 2.732 -1.733 4.463
Dy -1.897 -0.494 4.008
O 1.790 -0.678 6.040
O -3.426 0.504 5.083
```


Below is a geometry-optimized DySbAsO structure, with properties calculated at the PBE-GGA level.

Results
* symmetry: No. 129

Structure (extended XYZ):
```
8
Lattice="-2.431 2.723 -2.937 -3.989 -1.950 1.493 -0.576 5.312 5.400" Properties=species:S:1:pos:R:3 pbc="T T T"
Sb -1.645 0.564 0.016
Sb -5.351 5.521 3.941
O -2.820 1.554 -1.830
O -3.600 -0.782 0.386
As -4.986 2.161 0.526
As -2.009 3.923 3.431
Dy -3.108 4.210 0.870
Dy -3.888 1.874 3.086
```


Below is a geometry-optimized DySbAsO structure, with properties calculated at the PBE-GGA level.

Results
* symmetry: No. 26

Structure (extended XYZ):
```
8
Lattice="-2.706 2.895 0.451 -4.369 -4.849 4.909 2.984 2.060 4.690" Properties=species:S:1:pos:R:3 pbc="T T T"
Sb -0.201 2.053 3.253
Sb -5.159 -2.824 4.802
Dy -1.650 -2.375 5.343
Dy 1.363 0.343 5.980
O 0.121 2.010 5.465
O -3.571 -1.462 5.592
As -0.207 -1.389 7.677
As -0.130 -0.677 3.569
```


| no. | uncorrected energy (eV/atom) | ρ (g/cm³) |
| --- | --- | --- |
| 1 | -5.7600 | 6.50 |
| 2 | -5.2553 | 7.47 |
| 3 | -5.8251 | 6.45 |